K2RbYbV2O8: optimized geometry, PBE with a Hubbard U.

Results
Theoretical density = 3.84 g cm⁻³
Space group = No. 164
Total magnetization = 1.13 μB/f.u.
Uncorrected energy = -6.4115 eV/atom

abc: 6.0369 6.0369 7.7669
angles: 90.00 90.00 120.00
Closest atoms and distances in Å follow each position.
Fractional coordinates of all 14 atoms:
1 O 0.1750 0.3500 0.3268  1 V 1.76
2 K 0.3333 0.6667 0.6937  1 O 2.62
3 V 0.6667 0.3333 0.7512  4 O 1.69-1.76
4 O 0.8250 0.6500 0.6732  1 V 1.76
5 V 0.3333 0.6667 0.2488  4 O 1.69-1.76
6 O 0.6500 0.8250 0.3268  1 V 1.76
7 O 0.3500 0.1750 0.6732  1 V 1.76
8 O 0.8250 0.1750 0.6732  1 V 1.76
9 O 0.1750 0.8250 0.3268  1 V 1.76
10 O 0.6667 0.3333 0.9687  1 V 1.69
11 Yb 0.0000 0.0000 0.5000  6 O 2.27
12 O 0.3333 0.6667 0.0313  1 V 1.69
13 K 0.6667 0.3333 0.3063  1 O 2.62
14 Rb 0.0000 0.0000 0.0000  12 O 3.13-3.49